# 1
HgSbPb2: optimized geometry, PBE.

The space group is P-1 (No. 2) and the conventional cell measures 4.387, 6.740 and 9.087 Å, with angles of 104.12, 103.42 and 92.10 degrees. Symmetry generates all atoms from Hg at (0.214, 0.327, 0.432), Sb at (0.019, 0.811, 0.057), Pb at (0.349, 0.048, 0.681) and Pb at (0.390, 0.573, 0.819).

The calculation puts the formation energy (no corrections) at 47 meV/atom. The calculation puts the volume at 31.5 A^3/atom. For the relative energy among the computed polymorphs, the calculation gives 0.0267 eV per atom. For the size of the total moment, the calculation gives 0.00 μB/cell.

# 2
HgSbPb2: optimized geometry, PBE.

The space group is Pm (No. 6) and the conventional cell measures 3.378, 5.716 and 6.149 Å, with angles of 90.00, 93.58 and 90.00 degrees. Symmetry generates all atoms from Hg at (0.000, 0.000, 0.000), Sb at (0.159, 0.500, 0.750), Pb at (0.331, 0.000, 0.511) and Pb at (0.789, 0.500, 0.244).

The calculation puts the formation energy (no corrections) at 66 meV/atom. The calculation puts the volume at 29.6 A^3/atom. For the relative energy among the computed polymorphs, the calculation gives 0.0454 eV per atom. For the size of the total moment, the calculation gives 0.00 μB/cell.

# 3
Hg6SbPb8: optimized geometry, PBE.

The space group is R-3 (No. 148, hexagonal axes) and the conventional cell measures 9.4824, 9.4824 and 16.8752 Å, with angles of 90.00, 90.00 and 120.00 degrees. Symmetry generates all atoms from Hg at (0.0452, 0.7587, 0.4037), Sb at (0.0000, 0.0000, 0.5000), Pb at (0.0000, 0.0000, 0.2675) and Pb at (0.0268, 0.8027, 0.9104).

The calculation puts the formation energy (no corrections) at 45 meV/atom. The calculation puts the volume at 29.2 A^3/atom. For the size of the total moment, the calculation gives 0.00 μB/cell.

# 4
HgSbPb2: optimized geometry, PBE.

The space group is R3m (No. 160, hexagonal axes) and the conventional cell measures 3.5021, 3.5021 and 33.0899 Å, with angles of 90.00, 90.00 and 120.00 degrees. Symmetry generates all atoms from Hg at (0.0000, 0.0000, 0.0000), Sb at (0.0000, 0.0000, 0.2556), Pb at (0.0000, 0.0000, 0.5088) and Pb at (0.0000, 0.0000, 0.7493).

The calculation puts the formation energy (no corrections) at 89 meV/atom. The calculation puts the volume at 29.3 A^3/atom. For the relative energy among the computed polymorphs, the calculation gives 0.0688 eV per atom. For the size of the total moment, the calculation gives 0.00 μB/cell.